Entry 1:
First-principles (PBE) data for CuSe5 after structural relaxation, as listed in Alexandria via LeMat-Bulk.

a = 6.3174 Å, b = 6.3174 Å, c = 3.5960 Å
α = 90.00°, β = 90.00°, γ = 120.00°
Sites, in units of the cell vectors:
Cu  0.0000  0.0000  0.5000
Se  0.7087  0.0000  0.0000
Se  0.2913  0.2913  0.0000
Se  0.0000  0.7087  0.0000
Se  0.6667  0.3333  0.5000
Se  0.3333  0.6667  0.5000

Distance to the lowest polymorph of the same formula = 259 meV/atom
Formation energy without anion corrections = 320 meV per atom
Density = 6.124 g/cm³
Space group = P-62m, No. 189
E = -3.2662 eV/atom

***

Entry 2:
First-principles (PBE) data for LiReNi2 after structural relaxation, as listed in Alexandria via LeMat-Bulk.

a = 4.0323 Å, b = 4.0323 Å, c = 4.0323 Å
α = 60.00°, β = 60.00°, γ = 60.00°
Sites, in units of the cell vectors:
Li  0.5000  0.5000  0.5000
Ni  0.0000  0.0000  0.0000
Ni  0.2500  0.2500  0.2500
Re  0.7500  0.7500  0.7500

Distance to the lowest polymorph of the same formula = 269 meV/atom
Density = 11.123 g/cm³
Formation energy = 0.275 eV per atom
Space group = F-43m, No. 216
E = -6.2062 eV/atom

***

Entry 3:
First-principles (PBE) data for Co2PS3 after structural relaxation, as listed in Alexandria via LeMat-Bulk.

a = 5.4571 Å, b = 5.4309 Å, c = 5.4747 Å
α = 89.73°, β = 90.00°, γ = 90.00°
Each line ends with the local moment (μB).
Sites, in units of the cell vectors:
Co  0.5009  0.4968  0.7514  0.60
Co  0.0009  0.5032  0.2486  0.60
Co  0.4977  0.9992  0.2462  0.24
Co  0.9977  0.0008  0.7538  0.24
P  0.1156  0.8873  0.1329  -0.01
P  0.6156  0.1127  0.8671  -0.01
S  0.8859  0.6173  0.6371  0.03
S  0.3859  0.3827  0.3629  0.03
S  0.8856  0.1127  0.3636  0.01
S  0.3856  0.8873  0.6364  0.01
S  0.1143  0.3822  0.8645  0.04
S  0.6143  0.6178  0.1355  0.04

Formation energy without anion corrections = -432 meV per atom
Density = 5.015 g/cm³
Space group = P2_1, No. 4
E = -5.7664 eV/atom

***

Entry 4:
First-principles (PBE) data for CeUSn6 after structural relaxation, as listed in Alexandria via LeMat-Bulk.

a = 4.6764 Å, b = 4.6764 Å, c = 9.3427 Å
α = 90.00°, β = 90.00°, γ = 90.00°
Each line ends with the local moment (μB).
Sites, in units of the cell vectors:
Ce  0.0000  0.0000  0.0000  0.10
U  0.0000  0.0000  0.5000  -2.21
Sn  0.5000  0.5000  0.0000  -0.01
Sn  0.5000  0.5000  0.5000  0.02
Sn  0.5000  0.0000  0.2538  0.00
Sn  0.5000  0.0000  0.7462  0.00
Sn  0.0000  0.5000  0.2538  0.00
Sn  0.0000  0.5000  0.7462  0.00

Density = 8.862 g/cm³
Formation energy = -0.342 eV per atom
Space group = P4/mmm, No. 123
E = -5.4973 eV/atom